Computed, not measured: a geometry-optimized Cd2NiPd structure at the PBE-GGA level of DFT.

Cell lengths 6.399, 6.399, 6.399 Å; angles 90.00, 90.00, 90.00 degrees
Element x y z (fractional)
Cd1 0.000 0.000 0.000
Cd2 0.000 0.500 0.500
Cd3 0.250 0.250 0.250
Cd4 0.250 0.750 0.750
Cd5 0.500 0.000 0.500
Cd6 0.500 0.500 0.000
Cd7 0.750 0.250 0.750
Cd8 0.750 0.750 0.250
Ni1 0.250 0.250 0.750
Ni2 0.250 0.750 0.250
Ni3 0.750 0.250 0.250
Ni4 0.750 0.750 0.750
Pd1 0.000 0.000 0.500
Pd2 0.000 0.500 0.000
Pd3 0.500 0.000 0.000
Pd4 0.500 0.500 0.500

Results
raw total energy	-3.19	eV/atom
formation energy from the elements	-0.060	eV per atom
size of the total moment	0.0	μB per cell



Computed, not measured: a geometry-optimized GdInPbS3 structure at the PBE-GGA level of DFT.

Cell lengths 7.435, 7.435, 11.190 Å; angles 90.00, 90.00, 148.62 degrees
Element x y z (fractional)
Gd1 0.000 0.000 0.000
Gd2 0.000 0.000 0.500
In1 0.352 0.648 0.750
In2 0.648 0.352 0.250
Pb1 0.338 0.662 0.250
Pb2 0.662 0.338 0.750
S1 0.010 0.990 0.250
S2 0.369 0.631 0.501
S3 0.369 0.631 0.999
S4 0.631 0.369 0.001
S5 0.631 0.369 0.499
S6 0.990 0.010 0.750

Results
raw total energy	-4.92	eV/atom
size of the total moment	0.0	μB per cell



Computed, not measured: a geometry-optimized TaTlFeW structure at the PBE-GGA level of DFT.

Cell lengths 6.479, 6.479, 6.479 Å; angles 90.00, 90.00, 90.00 degrees
Element x y z (fractional)
Ta1 0.000 0.000 0.000
Ta2 0.000 0.500 0.500
Ta3 0.500 0.000 0.500
Ta4 0.500 0.500 0.000
Tl1 0.000 0.000 0.500
Tl2 0.000 0.500 0.000
Tl3 0.500 0.000 0.000
Tl4 0.500 0.500 0.500
Fe1 0.250 0.250 0.750
Fe2 0.250 0.750 0.250
Fe3 0.750 0.250 0.250
Fe4 0.750 0.750 0.750
W1 0.250 0.250 0.250
W2 0.250 0.750 0.750
W3 0.750 0.250 0.750
W4 0.750 0.750 0.250

Results
raw total energy	-8.21	eV/atom
size of the total moment	8.4	μB per cell